Here is a relaxed Pm2Cl4F3 crystal from Alexandria via LeMat-Bulk. Energies are from PBE.

a b c (Å): 15.680 3.747 7.377
angles (deg): 90.00 106.43 90.00
Space group C2/m (No. 12)
Unique sites:
Pm 0.106 0.000 0.432 [4 per cell]
Cl 0.075 0.000 0.806 [4 per cell]
Cl 0.226 0.500 0.674 [4 per cell]
F 0.000 0.500 0.500 [2 per cell]
F 0.105 0.500 0.264 [4 per cell]

- ΔE_f (raw) (eV/atom) = -2.6325



Here is a relaxed SmDyTlS crystal from Alexandria via LeMat-Bulk. Energies are from PBE.

a b c (Å): 6.658 3.849 8.521
angles (deg): 90.00 105.12 90.00
Space group Cm (No. 8)
Unique sites:
Sm 0.000 0.000 0.000 [2 per cell]
Dy 0.202 0.000 0.605 [2 per cell]
Tl 0.436 0.000 0.306 [2 per cell]
S 0.099 0.500 0.798 [2 per cell]

- ΔE_f (raw) (eV/atom) = -1.1387



Here is a relaxed AcPm6Pr3Nd2 crystal from Alexandria via LeMat-Bulk. Energies are from PBE.

a b c (Å): 6.418 11.118 12.237
angles (deg): 90.00 100.11 90.00
Space group C2/m (No. 12)
Unique sites:
Ac 0.000 0.000 0.000 [2 per cell]
Pm 0.248 0.332 0.748 [8 per cell]
Pm 0.249 0.500 0.252 [4 per cell]
Pr 0.000 0.167 0.500 [4 per cell]
Pr 0.000 0.500 0.500 [2 per cell]
Nd 0.000 0.333 0.000 [4 per cell]

- formation energy (meV per atom) = 18



Here is a relaxed RbLa2AgTe4 crystal from Alexandria via LeMat-Bulk. Energies are from PBE.

a b c (Å): 4.662 15.776 16.180
angles (deg): 90.00 90.00 90.00
Space group Cmcm (No. 63)
Unique sites:
Rb 0.000 0.118 0.250 [4 per cell]
La 0.000 0.367 0.066 [8 per cell]
Ag 0.000 0.158 0.750 [4 per cell]
Te 0.000 0.000 0.000 [4 per cell]
Te 0.000 0.265 0.609 [8 per cell]
Te 0.000 0.443 0.250 [4 per cell]

- ΔE_f (raw) (eV/atom) = -1.2793



Here is a relaxed AcNd5Sm6 crystal from Alexandria via LeMat-Bulk. Energies are from PBE.

a b c (Å): 6.385 11.060 12.166
angles (deg): 90.00 100.10 90.00
Space group C2/m (No. 12)
Unique sites:
Ac 0.000 0.000 0.000 [2 per cell]
Nd 0.000 0.167 0.500 [4 per cell]
Nd 0.000 0.333 0.000 [4 per cell]
Nd 0.000 0.500 0.500 [2 per cell]
Sm 0.248 0.332 0.747 [8 per cell]
Sm 0.248 0.500 0.253 [4 per cell]

- formation energy (meV per atom) = 20



Here is a relaxed Ba2SrCaIr crystal from Alexandria via LeMat-Bulk. Energies are from PBE.

a b c (Å): 6.199 6.199 6.005
angles (deg): 90.00 90.00 90.00
Space group P4/mmm (No. 123)
Unique sites:
Ba 0.000 0.500 0.000 [2 per cell]
Sr 0.000 0.000 0.500 [1 per cell]
Ca 0.500 0.500 0.500 [1 per cell]
Ir 0.000 0.000 0.000 [1 per cell]

- relative energy among the computed polymorphs (eV per formula unit) = 0.133
- formation energy (meV per atom) = -58



Here is a relaxed TiCdAu4 crystal from Alexandria via LeMat-Bulk. Energies are from PBE.

a b c (Å): 6.817 6.817 11.203
angles (deg): 90.00 90.00 90.00
Space group I4_1/amd (No. 141, origin choice 2)
Unique sites:
Ti 0.000 0.250 0.375 [4 per cell]
Cd 0.000 0.250 0.875 [4 per cell]
Au 0.225 0.000 0.500 [16 per cell]

- relative energy among the computed polymorphs (eV per formula unit) = 1.265
- formation energy (meV per atom) = -42



Here is a relaxed Y2TmMnS6 crystal from Alexandria via LeMat-Bulk. Energies are from PBE.

a b c (Å): 6.570 6.702 7.010
angles (deg): 62.21 89.85 62.28
Space group P1 (No. 1)
Unique sites:
Y 0.000 0.000 0.000 [1 per cell]
Y 0.496 0.003 0.508 [1 per cell]
Tm 0.703 0.586 0.110 [1 per cell]
Mn 0.199 0.595 0.598 [1 per cell]
S 0.094 0.493 0.337 [1 per cell]
S 0.307 0.741 0.813 [1 per cell]
S 0.409 0.750 0.339 [1 per cell]
S 0.575 0.095 0.833 [1 per cell]
S 0.819 0.093 0.319 [1 per cell]
S 0.930 0.499 0.803 [1 per cell]

- ΔE_f (raw) (eV/atom) = -1.6073



Here is a relaxed RbPaTiS4 crystal from Alexandria via LeMat-Bulk. Energies are from PBE.

a b c (Å): 8.320 8.817 10.150
angles (deg): 90.00 90.00 90.00
Space group Imma (No. 74)
Unique sites:
Rb 0.000 0.250 0.150 [4 per cell]
Pa 0.000 0.000 0.500 [4 per cell]
Ti 0.250 0.250 0.750 [4 per cell]
S 0.000 0.074 0.755 [8 per cell]
S 0.197 0.250 0.505 [8 per cell]

- ΔE_f (raw) (eV/atom) = -1.3356



Here is a relaxed Rb2Zn2H5 crystal from Alexandria via LeMat-Bulk. Energies are from PBE.

a b c (Å): 10.944 4.102 6.737
angles (deg): 90.00 107.14 90.00
Space group C2/m (No. 12)
Unique sites:
Rb 0.087 0.000 0.315 [4 per cell]
Zn 0.161 0.500 0.925 [4 per cell]
H 0.000 0.500 0.000 [2 per cell]
H 0.132 0.500 0.665 [4 per cell]
H 0.169 0.000 0.968 [4 per cell]

- uncorrected energy (eV/atom) = -2.37



Here is a relaxed KAs3Os crystal from Alexandria via LeMat-Bulk. Energies are from PBE.

a b c (Å): 5.218 5.218 5.218
angles (deg): 90.00 90.00 90.00
Space group Pm-3m (No. 221)
Unique sites:
K 0.000 0.000 0.000 [1 per cell]
As 0.000 0.000 0.500 [3 per cell]
Os 0.500 0.500 0.500 [1 per cell]

- relative energy among the computed polymorphs (eV per formula unit) = 11.210
- formation energy (meV per atom) = 2632



Here is a relaxed La2Ti3Ag2O10 crystal from Alexandria via LeMat-Bulk. Energies are from PBE.

a b c (Å): 3.866 3.866 29.218
angles (deg): 90.00 90.00 90.00
Space group I4/mmm (No. 139)
Unique sites:
La 0.000 0.000 0.074 [4 per cell]
Ti 0.000 0.000 0.354 [4 per cell]
Ti 0.000 0.000 0.500 [2 per cell]
Ag 0.000 0.000 0.215 [4 per cell]
O 0.000 0.000 0.293 [4 per cell]
O 0.000 0.000 0.433 [4 per cell]
O 0.000 0.500 0.000 [4 per cell]
O 0.000 0.500 0.131 [8 per cell]

- ΔE_f (raw) (eV/atom) = -2.6527



Number 1: calculated density 3.90 Mg/m³. Number 2: calculated density 8.65 Mg/m³. Number 3: calculated density 6.99 Mg/m³. Number 4: calculated density 5.48 Mg/m³. Number 5: calculated density 7.26 Mg/m³. Number 6: calculated density 4.28 Mg/m³. Number 7: calculated density 12.10 Mg/m³. Number 8: calculated density 4.24 Mg/m³. Number 9: calculated density 4.39 Mg/m³. Number 10: calculated density 3.53 Mg/m³. Number 11: calculated density 5.31 Mg/m³. Number 12: calculated density 6.06 Mg/m³.